[1]
VASP calculation (PBE-GGA) on crystalline HoTmScCu at its relaxed geometry.

For the formation energy, the calculation gives 118 meV per atom. The calculation puts the calculated total energy at -4.7514 eV per atom.

It has space group F-43m (No. 216), with a = 7.230 Å, b = 7.230 Å, c = 7.230 Å, α = 90.00°, β = 90.00° and γ = 90.00°. Symmetry generates all atoms from Ho at (0.000, 0.000, 0.000), Tm at (0.000, 0.000, 0.500), Sc at (0.250, 0.250, 0.250) and Cu at (0.250, 0.250, 0.750).

[2]
VASP calculation (PBE-GGA) on crystalline YHoScCu at its relaxed geometry.

For the formation energy, the calculation gives 126 meV per atom. The calculation puts the calculated total energy at -5.2419 eV per atom.

It has space group F-43m (No. 216), with a = 7.287 Å, b = 7.287 Å, c = 7.287 Å, α = 90.00°, β = 90.00° and γ = 90.00°. Symmetry generates all atoms from Y at (0.000, 0.000, 0.000), Ho at (0.000, 0.000, 0.500), Sc at (0.250, 0.250, 0.250) and Cu at (0.250, 0.250, 0.750).

[3]
VASP calculation (PBE-GGA) on crystalline Ho2CuSe3 at its relaxed geometry.

The calculation puts the uncorrected formation energy at -1290 meV/atom. The calculation puts the calculated total energy at -5.2408 eV per atom.

It has space group Immm (No. 71), with a = 3.771 Å, b = 4.478 Å, c = 16.067 Å, α = 90.00°, β = 90.00° and γ = 90.00°. Symmetry generates all atoms from Ho at (0.000, 0.000, 0.140), Cu at (0.000, 0.000, 0.500), Se at (0.000, 0.000, 0.322) and Se at (0.000, 0.500, 0.500).

[4]
VASP calculation (PBE-GGA) on crystalline Ho5Cu2Se2 at its relaxed geometry.

The calculation puts the uncorrected formation energy at -824 meV/atom. The calculation puts the calculated total energy at -5.0520 eV per atom.

It has space group Cmce (No. 64), with a = 14.878 Å, b = 7.534 Å, c = 7.456 Å, α = 90.00°, β = 90.00° and γ = 90.00°. Symmetry generates all atoms from Ho at (0.000, 0.000, 0.000), Ho at (0.133, 0.165, 0.342), Cu at (0.000, 0.128, 0.624) and Se at (0.202, 0.000, 0.000).

[5]
VASP calculation (PBE-GGA) on crystalline Ho4CuSe5 at its relaxed geometry.

The calculation puts the uncorrected formation energy at -1381 meV/atom. The calculation puts the calculated total energy at -5.3640 eV per atom.

It has space group C2/m (No. 12), with a = 18.123 Å, b = 4.012 Å, c = 8.693 Å, α = 90.00°, β = 107.08° and γ = 90.00°. Symmetry generates all atoms from Ho at (0.005, 0.000, 0.233), Ho at (0.174, 0.500, 0.589), Cu at (0.000, 0.500, 0.500), Se at (0.000, 0.500, 0.000), Se at (0.148, 0.000, 0.788) and Se at (0.166, 0.000, 0.348).

[6]
VASP calculation (PBE-GGA) on crystalline Ho4CuSe3 at its relaxed geometry.

The calculation puts the uncorrected formation energy at -1361 meV/atom. The calculation puts the calculated total energy at -5.4684 eV per atom.

It has space group Cmmm (No. 65), with a = 8.299 Å, b = 11.515 Å, c = 3.952 Å, α = 90.00°, β = 90.00° and γ = 90.00°. Symmetry generates all atoms from Ho at (0.000, 0.244, 0.000), Ho at (0.236, 0.000, 0.500), Cu at (0.000, 0.000, 0.000), Se at (0.000, 0.500, 0.000) and Se at (0.250, 0.250, 0.500).

[7]
VASP calculation (PBE-GGA) on crystalline HoCu3Se3 at its relaxed geometry.

The calculation puts the uncorrected formation energy at -735 meV/atom. The calculation puts the calculated total energy at -4.6383 eV per atom.

It has space group R-3 (No. 148, hexagonal axes), with a = 6.9946 Å, b = 6.9946 Å, c = 19.7548 Å, α = 90.00°, β = 90.00° and γ = 120.00°. Symmetry generates all atoms from Ho at (0.0000, 0.0000, 0.1662), Cu at (0.0041, 0.6479, 0.6250) and Se at (0.0019, 0.6792, 0.4187).

[8]
VASP calculation (PBE-GGA) on crystalline Ho2Cu4Se5 at its relaxed geometry.

The calculation puts the uncorrected formation energy at -770 meV/atom. The calculation puts the calculated total energy at -4.6758 eV per atom.

It has space group R-3m (No. 166, hexagonal axes), with a = 4.0060 Å, b = 4.0060 Å, c = 49.7931 Å, α = 90.00°, β = 90.00° and γ = 120.00°. Symmetry generates all atoms from Ho at (0.0000, 0.0000, 0.1325), Cu at (0.0000, 0.0000, 0.3139), Cu at (0.0000, 0.0000, 0.4146), Se at (0.0000, 0.0000, 0.2351), Se at (0.0000, 0.0000, 0.3664) and Se at (0.0000, 0.0000, 0.5000).

[9]
VASP calculation (PBE-GGA) on crystalline Ho6CuSe5 at its relaxed geometry.

The calculation puts the uncorrected formation energy at -1511 meV/atom. The calculation puts the calculated total energy at -5.5926 eV per atom.

It has space group C2/m (No. 12), with a = 7.048 Å, b = 12.183 Å, c = 7.036 Å, α = 90.00°, β = 109.53° and γ = 90.00°. Symmetry generates all atoms from Ho at (0.237, 0.000, 0.257), Ho at (0.238, 0.159, 0.739), Cu at (0.000, 0.000, 0.500), Se at (0.000, 0.175, 0.000), Se at (0.000, 0.335, 0.500) and Se at (0.000, 0.500, 0.000).

[10]
VASP calculation (PBE-GGA) on crystalline Ho2CuSe4 at its relaxed geometry.

The calculation puts the uncorrected formation energy at -1302 meV/atom. The calculation puts the calculated total energy at -5.1865 eV per atom.

It has space group P2_1/m (No. 11), with a = 7.015 Å, b = 5.782 Å, c = 8.045 Å, α = 90.00°, β = 106.58° and γ = 90.00°. Symmetry generates all atoms from Ho at (0.226, 0.250, 0.430), Ho at (0.242, 0.250, 0.935), Cu at (0.235, 0.750, 0.683), Se at (0.068, 0.750, 0.382), Se at (0.071, 0.750, 0.903) and Se at (0.484, 0.509, 0.247).

[11]
VASP calculation (PBE-GGA) on crystalline HoCu2Se2 at its relaxed geometry.

The calculation puts the uncorrected formation energy at -661 meV/atom. The calculation puts the calculated total energy at -4.6093 eV per atom.

It has space group C2/c (No. 15), with a = 7.837 Å, b = 12.183 Å, c = 5.631 Å, α = 90.00°, β = 130.24° and γ = 90.00°. Symmetry generates all atoms from Ho at (0.000, 0.121, 0.250), Cu at (0.166, 0.459, 0.050), Se at (0.000, 0.138, 0.750) and Se at (0.000, 0.362, 0.250).